NaFeBr2F | PBE with a Hubbard U | relaxed

a b c (Å): 5.388 5.388 3.976
angles (deg): 90.00 90.00 90.00
Element x y z (fractional)
Na 0.000 0.000 0.000
Fe 0.500 0.500 0.500
Br 0.000 0.500 0.500
Br 0.500 0.000 0.500
F 0.500 0.500 0.000

Values from the calculation:
- DOS at the Fermi energy (states/eV/cell) = 0.00
- magnetic moment (μB/cell) = 4.00
- space group = No. 123
- raw total energy (eV per atom) = -3.9587